1.
# PBE TbPr5Sm7, relaxed
data_TbPr5Sm7
_cell_length_a 8.881
_cell_length_b 8.881
_cell_length_c 8.881
_cell_angle_alpha 134.26
_cell_angle_beta 101.99
_cell_angle_gamma 95.42
_space_group_name_H-M_alt 'P 1'
_space_group_IT_number 1
_space_group_name_Hall 'P 1'
loop_
_atom_site_label
_atom_site_fract_x
_atom_site_fract_y
_atom_site_fract_z
Tb1 0.000 0.000 0.000
Pr1 0.034 0.036 0.451
Pr2 0.034 0.583 0.997
Pr3 0.585 0.036 0.003
Pr4 0.585 0.583 0.549
Pr5 0.764 0.264 0.500
Sm1 0.215 0.547 0.668
Sm2 0.292 0.792 0.500
Sm3 0.302 0.302 0.000
Sm4 0.368 0.049 0.318
Sm5 0.604 0.604 0.000
Sm6 0.731 0.049 0.682
Sm7 0.879 0.547 0.332
# Energy relative to the elements   0.24 eV per atom
# ρ   6.90 g/cm³
# Uncorrected energy   -0.165 hartree per atom

2.
# PBE Tb12PrSm7, relaxed
data_Tb12PrSm7
_cell_length_a 8.774
_cell_length_b 8.774
_cell_length_c 8.774
_cell_angle_alpha 94.97
_cell_angle_beta 94.97
_cell_angle_gamma 94.97
_space_group_name_H-M_alt 'P 1'
_space_group_IT_number 1
_space_group_name_Hall 'P 1'
loop_
_atom_site_label
_atom_site_fract_x
_atom_site_fract_y
_atom_site_fract_z
Tb1 0.146 0.479 0.414
Tb2 0.187 0.319 0.749
Tb3 0.251 0.813 0.681
Tb4 0.319 0.749 0.187
Tb5 0.414 0.146 0.479
Tb6 0.479 0.414 0.146
Tb7 0.521 0.586 0.854
Tb8 0.586 0.854 0.521
Tb9 0.681 0.251 0.813
Tb10 0.749 0.187 0.319
Tb11 0.813 0.681 0.251
Tb12 0.854 0.521 0.586
Pr1 0.000 0.000 0.000
Sm1 0.018 0.355 0.085
Sm2 0.085 0.018 0.355
Sm3 0.355 0.085 0.018
Sm4 0.500 0.500 0.500
Sm5 0.645 0.915 0.982
Sm6 0.915 0.982 0.645
Sm7 0.982 0.645 0.915
# Polymorph energy (0 for the lowest one)   0 meV per atom
# Energy relative to the elements   0.28 eV per atom
# ρ   7.72 g/cm³
# Uncorrected energy   -0.161 hartree per atom

Which value of uncorrected energy does entry 1 give? -0.165 hartree per atom